(1)
A relaxed ZrAs2SBr crystal, computed with PBE.

Structure (POSCAR):
```
ZrAs2SBr
1.0
-4.584 -1.295 0.049
0.541 -1.747 4.399
-1.220 4.391 1.894
S As Br Zr
1 2 1 1
Direct
0.000 0.000 0.000
0.000 0.500 0.000
0.500 0.000 0.000
0.000 0.000 0.500
0.500 0.500 0.500
```

Computed properties:
Distance to the lowest polymorph of the same formula: 161 meV/atom
Density of states at the Fermi level: 2.95 states/eV per cell
DFT total energy: -0.312 Ry/atom
Formation energy without anion corrections: 0.49 eV/atom
Symmetry: P4/mmm (123)

(2)
A relaxed Sc2Ag2H crystal, computed with PBE.

Structure (POSCAR):
```
Sc2Ag2H
1.0
6.054 0.000 0.000
0.000 6.054 0.000
0.000 0.000 4.893
Sc H Ag
4 2 4
Direct
0.328 0.828 0.000
0.828 0.672 0.000
0.672 0.172 0.000
0.172 0.328 0.000
0.000 0.000 0.000
0.500 0.500 0.000
0.157 0.657 0.500
0.657 0.843 0.500
0.843 0.343 0.500
0.343 0.157 0.500
```

Computed properties:
Distance to the lowest polymorph of the same formula: 0 meV/atom
Density of states at the Fermi level: 7.40 states/eV per cell
DFT total energy: -0.324 Ry/atom
Symmetry: P4/mbm (127)

(3)
A relaxed CeB2Ru3 crystal, computed with PBE.

Structure (POSCAR):
```
CeB2Ru3
1.0
-3.739 2.218 3.445
-1.546 -3.890 -3.639
0.602 -2.140 2.032
Ce B Ru
1 2 3
Direct
0.000 0.000 0.000
0.333 0.667 0.000
0.667 0.333 0.000
0.500 0.000 0.500
0.500 0.500 0.500
0.000 0.500 0.500
```

Computed properties:
E_form: -49 kJ/mol of atoms
Density of states at the Fermi level: 5.00 states/eV per cell
DFT total energy: -0.614 Ry/atom
Symmetry: P6/mmm (191)

(4)
A relaxed AgMoAu crystal, computed with PBE.

Structure (POSCAR):
```
AgMoAu
1.0
4.684 0.000 0.000
-2.342 4.056 0.000
0.000 0.000 2.684
Ag Au Mo
1 1 1
Direct
0.000 0.000 0.167
0.667 0.333 0.166
0.333 0.667 0.667
```

Computed properties:
Distance to the lowest polymorph of the same formula: 143 meV/atom
E_form: 43 kJ/mol of atoms
Density of states at the Fermi level: 2.76 states/eV per cell
DFT total energy: -0.382 Ry/atom
Symmetry: P-6m2 (187)

(5)
A relaxed SrTl2NiBi crystal, computed with PBE.

Structure (POSCAR):
```
SrTl2NiBi
1.0
-0.012 -4.829 -1.547
4.557 0.668 -2.121
2.528 -1.586 4.931
Sr Tl Bi Ni
1 2 1 1
Direct
0.000 0.000 0.500
0.000 0.500 0.000
0.500 0.000 0.000
0.500 0.500 0.500
0.000 0.000 0.000
```

Computed properties:
Distance to the lowest polymorph of the same formula: 0 meV/atom
E_form: -16 kJ/mol of atoms
Density of states at the Fermi level: 3.65 states/eV per cell
DFT total energy: -0.248 Ry/atom
Symmetry: P4/mmm (123)

(6)
A relaxed AlHgRh2 crystal, computed with PBE.

Structure (POSCAR):
```
AlHgRh2
1.0
-3.177 2.648 -3.488
-1.484 -2.328 -4.653
-0.006 -0.212 5.406
Rh Hg Al
2 1 1
Direct
0.993 0.993 0.000
0.726 0.226 0.500
0.265 0.765 0.500
0.517 0.517 0.000
```

Computed properties:
Distance to the lowest polymorph of the same formula: 295 meV/atom
E_form: -19 kJ/mol of atoms
Density of states at the Fermi level: 3.47 states/eV per cell
DFT total energy: -0.359 Ry/atom
Symmetry: Imm2 (44)

(7)
A relaxed CaSiPd4 crystal, computed with PBE.

Structure (POSCAR):
```
CaSiPd4
1.0
3.812 0.000 0.000
0.000 6.951 0.000
0.000 0.000 7.871
Ca Si Pd
2 2 8
Direct
0.000 0.628 0.750
0.000 0.372 0.250
0.000 0.198 0.750
0.000 0.802 0.250
0.000 0.000 0.500
0.000 0.000 0.000
0.500 0.951 0.750
0.500 0.049 0.250
0.500 0.696 0.066
0.500 0.304 0.934
0.500 0.696 0.434
0.500 0.304 0.566
```

Computed properties:
Density of states at the Fermi level: 5.39 states/eV per cell
DFT total energy: -0.393 Ry/atom
Formation energy without anion corrections: -0.64 eV/atom
Symmetry: Pmma (51)

(8)
A relaxed TcSn2Hg crystal, computed with PBE.

Structure (POSCAR):
```
TcSn2Hg
1.0
-3.023 0.462 1.090
-0.411 -3.213 0.221
2.976 0.181 8.179
Tc Hg Sn
1 1 2
Direct
0.500 0.500 0.000
0.500 0.500 0.500
0.000 0.000 0.811
0.000 0.000 0.189
```

Computed properties:
E_form: 19 kJ/mol of atoms
Density of states at the Fermi level: 3.91 states/eV per cell
DFT total energy: -0.329 Ry/atom
Symmetry: P4/mmm (123)

- Look up the density of states at the Fermi level of the first one.
  2.95 states/eV per cell